DFT (GGA-PBE) results for an optimized crystal structure of MoAs5.

Structure (CIF):
```
data_MoAs5
_chemical_formula_sum 'Mo4 As20'
_symmetry_space_group_name_H-M 'F -4 3 m'
_symmetry_Int_Tables_number 216
_symmetry_space_group_name_Hall 'F -4 2 3'
_cell_length_a 7.717
_cell_length_b 7.717
_cell_length_c 7.717
_cell_angle_alpha 90.00
_cell_angle_beta 90.00
_cell_angle_gamma 90.00
loop_
_atom_site_label
_atom_site_fract_x
_atom_site_fract_y
_atom_site_fract_z
_atom_site_occupancy
Mo1 0.000 0.000 0.000 1
As1 0.124 0.124 0.376 1
As2 0.250 0.250 0.750 1
```

DFT (GGA-PBE) results for an optimized crystal structure of Mo3As.

Structure (CIF):
```
data_Mo3As
_chemical_formula_sum 'Mo6 As2'
_symmetry_space_group_name_H-M 'P 63/m m c'
_symmetry_Int_Tables_number 194
_symmetry_space_group_name_Hall '-P 6c 2c'
_cell_length_a 5.4751
_cell_length_b 5.4751
_cell_length_c 4.7647
_cell_angle_alpha 90.00
_cell_angle_beta 90.00
_cell_angle_gamma 120.00
loop_
_atom_site_label
_atom_site_fract_x
_atom_site_fract_y
_atom_site_fract_z
_atom_site_occupancy
Mo1 0.1666 0.3331 0.2500 1
As1 0.3333 0.6667 0.7500 1
```

DFT (GGA-PBE) results for an optimized crystal structure of MoAs3.

Structure (CIF):
```
data_MoAs3
_chemical_formula_sum 'Mo4 As12'
_symmetry_space_group_name_H-M 'I 4/m m m'
_symmetry_Int_Tables_number 139
_symmetry_space_group_name_Hall '-I 4 2'
_cell_length_a 3.645
_cell_length_b 3.645
_cell_length_c 23.449
_cell_angle_alpha 90.00
_cell_angle_beta 90.00
_cell_angle_gamma 90.00
loop_
_atom_site_label
_atom_site_fract_x
_atom_site_fract_y
_atom_site_fract_z
_atom_site_occupancy
Mo1 0.000 0.000 0.172 1
As1 0.000 0.000 0.380 1
As2 0.000 0.500 0.000 1
As3 0.000 0.500 0.250 1
```

Number 1: ΔH_f (0 K) 0.8237 eV per atom, distance to the lowest polymorph of the same formula 762.1 meV per atom. Number 2: ΔH_f (0 K) 0.1173 eV per atom, distance to the lowest polymorph of the same formula 124.7 meV per atom. Number 3: ΔH_f (0 K) 0.3297 eV per atom, distance to the lowest polymorph of the same formula 349.4 meV per atom.